Record 1
A relaxed NbTc2NiH crystal, computed with PBE-GGA.

Cell and atoms, written as CIF:
```
data_NbTc2NiH
_chemical_formula_sum 'Nb1 Tc2 Ni1 H1'
_space_group_name_H-M_alt 'P 1'
_space_group_IT_number 1
_space_group_name_Hall 'P 1'
_cell_length_a 3.993
_cell_length_b 3.993
_cell_length_c 3.756
_cell_angle_alpha 90.00
_cell_angle_beta 90.00
_cell_angle_gamma 90.00
loop_
_atom_site_label
_atom_site_type_symbol
_atom_site_fract_x
_atom_site_fract_y
_atom_site_fract_z
Nb1 Nb 0.000 0.000 0.000
Tc1 Tc 0.000 0.500 0.500
Tc2 Tc 0.500 0.000 0.500
Ni1 Ni 0.500 0.500 0.000
H1 H 0.500 0.500 0.500
```

total DFT energy (no corrections)	-8.0934	eV/atom
ΔE to the lowest computed polymorph	0.000	eV per atom
magnetic moment	0.0	μB/cell
V	59.89	Å³/cell

Record 2
A relaxed CaZrBe2 crystal, computed with PBE-GGA.

Cell and atoms, written as CIF:
```
data_CaZrBe2
_chemical_formula_sum 'Ca1 Zr1 Be2'
_space_group_name_H-M_alt 'P 1'
_space_group_IT_number 1
_space_group_name_Hall 'P 1'
_cell_length_a 4.451
_cell_length_b 4.451
_cell_length_c 5.798
_cell_angle_alpha 114.91
_cell_angle_beta 114.91
_cell_angle_gamma 54.73
loop_
_atom_site_label
_atom_site_type_symbol
_atom_site_fract_x
_atom_site_fract_y
_atom_site_fract_z
Ca1 Ca 0.000 0.000 0.000
Zr1 Zr 0.500 0.500 0.500
Be1 Be 0.216 0.216 0.587
Be2 Be 0.784 0.784 0.413
```

total DFT energy (no corrections)	-4.1686	eV/atom
ΔH_f (0 K)	0.3319	eV/atom
ΔE to the lowest computed polymorph	0.199	eV per atom
magnetic moment	0.0	μB/cell
V	82.57	Å³/cell

Record 3
A relaxed TaFeCu3 crystal, computed with PBE-GGA.

Cell and atoms, written as CIF:
```
data_TaFeCu3
_chemical_formula_sum 'Ta1 Fe1 Cu3'
_space_group_name_H-M_alt 'P 1'
_space_group_IT_number 1
_space_group_name_Hall 'P 1'
_cell_length_a 4.297
_cell_length_b 4.297
_cell_length_c 4.297
_cell_angle_alpha 90.00
_cell_angle_beta 90.00
_cell_angle_gamma 90.00
loop_
_atom_site_label
_atom_site_type_symbol
_atom_site_fract_x
_atom_site_fract_y
_atom_site_fract_z
Ta1 Ta 0.000 0.000 0.000
Fe1 Fe 0.500 0.500 0.500
Cu1 Cu 0.000 0.500 0.500
Cu2 Cu 0.500 0.000 0.500
Cu3 Cu 0.500 0.500 0.000
```

total DFT energy (no corrections)	-5.3380	eV/atom
ΔH_f (0 K)	1.1828	eV/atom
ΔE to the lowest computed polymorph	0.000	eV per atom
magnetic moment	2.8	μB/cell
V	79.35	Å³/cell

Record 4
A relaxed NdTcS crystal, computed with PBE-GGA.

Cell and atoms, written as CIF:
```
data_NdTcS
_chemical_formula_sum 'Nd2 Tc2 S2'
_space_group_name_H-M_alt 'P 1'
_space_group_IT_number 1
_space_group_name_Hall 'P 1'
_cell_length_a 3.915
_cell_length_b 3.915
_cell_length_c 8.531
_cell_angle_alpha 90.33
_cell_angle_beta 90.33
_cell_angle_gamma 88.58
loop_
_atom_site_label
_atom_site_type_symbol
_atom_site_fract_x
_atom_site_fract_y
_atom_site_fract_z
Nd1 Nd 0.243 0.243 0.302
Nd2 Nd 0.757 0.757 0.698
Tc1 Tc 0.316 0.316 0.946
Tc2 Tc 0.684 0.684 0.054
S1 S 0.254 0.254 0.654
S2 S 0.746 0.746 0.346
```

total DFT energy (no corrections)	-7.2647	eV/atom
magnetic moment	0.0	μB/cell
V	130.72	Å³/cell

Record 5
A relaxed FeWBr crystal, computed with PBE-GGA.

Cell and atoms, written as CIF:
```
data_FeWBr
_chemical_formula_sum 'Fe1 W1 Br1'
_space_group_name_H-M_alt 'P 1'
_space_group_IT_number 1
_space_group_name_Hall 'P 1'
_cell_length_a 3.321
_cell_length_b 3.321
_cell_length_c 5.815
_cell_angle_alpha 90.00
_cell_angle_beta 90.00
_cell_angle_gamma 120.00
loop_
_atom_site_label
_atom_site_type_symbol
_atom_site_fract_x
_atom_site_fract_y
_atom_site_fract_z
Fe1 Fe 0.000 0.000 0.000
W1 W 0.333 0.667 0.218
Br1 Br 0.667 0.333 0.588
```

total DFT energy (no corrections)	-7.0879	eV/atom
ΔE to the lowest computed polymorph	0.000	eV per atom
magnetic moment	0.0	μB/cell
V	55.53	Å³/cell

Record 6
A relaxed TmZn4Au crystal, computed with PBE-GGA.

Cell and atoms, written as CIF:
```
data_TmZn4Au
_chemical_formula_sum 'Tm2 Zn8 Au2'
_space_group_name_H-M_alt 'P 1'
_space_group_IT_number 1
_space_group_name_Hall 'P 1'
_cell_length_a 8.272
_cell_length_b 8.272
_cell_length_c 6.742
_cell_angle_alpha 90.00
_cell_angle_beta 90.00
_cell_angle_gamma 151.98
loop_
_atom_site_label
_atom_site_type_symbol
_atom_site_fract_x
_atom_site_fract_y
_atom_site_fract_z
Tm1 Tm 0.117 0.883 0.750
Tm2 Tm 0.883 0.117 0.250
Zn1 Zn 0.069 0.931 0.250
Zn2 Zn 0.338 0.662 0.558
Zn3 Zn 0.338 0.662 0.942
Zn4 Zn 0.500 0.500 0.000
Zn5 Zn 0.500 0.500 0.500
Zn6 Zn 0.662 0.338 0.058
Zn7 Zn 0.662 0.338 0.442
Zn8 Zn 0.931 0.069 0.750
Au1 Au 0.239 0.761 0.250
Au2 Au 0.761 0.239 0.750
```

total DFT energy (no corrections)	-2.4511	eV/atom
ΔH_f (0 K)	-0.3103	eV/atom
ΔE to the lowest computed polymorph	0.000	eV per atom
magnetic moment	0.0	μB/cell
V	216.73	Å³/cell

Question: Look up the magnetic moment of the fourth one.
Answer: 0.0 μB/cell